Here is an optimized crystal structure of Ce2Si5Ir from Alexandria. Energies are from GGA-PBE.

Crystal system   tetragonal
Magnetization   0.11 μB per cell
E_form (uncorrected)   -0.595 eV/atom

```
Ce2Si5Ir
1.0
-1.2053 0.0893 5.9239
-0.4949 -5.0580 -3.2748
5.6510 0.4245 -2.1070
Ce Si Ir
2 5 1
Direct
0.5000 0.2321 0.7321
0.5000 0.7321 0.2321
0.4207 0.7001 0.7001
0.0000 0.2837 0.2837
0.5793 0.2795 0.2795
0.0000 0.7001 0.2795
0.0000 0.2795 0.7001
0.0000 0.0150 0.0150
```